The following is a DFT calculation (PBE with a Hubbard U) of crystalline AcCr2OsO8 at its relaxed geometry.

Calculated values
Raw total energy ... -0.27781 hartree per atom

abc: 4.931 4.938 6.906
angles: 82.97 83.07 81.48
Space group P-1 (No. 2)
Asymmetric unit:
Ac 0.000 0.000 0.000 [1 per cell]
Cr 0.460 0.460 0.226 [2 per cell]
Os 0.000 0.000 0.500 [1 per cell]
O 0.206 0.783 0.298 [2 per cell]
O 0.215 0.792 0.703 [2 per cell]
O 0.248 0.245 0.444 [2 per cell]
O 0.338 0.334 0.001 [2 per cell]